Entry 1:
DyTlPdAu: relaxed, PBE.

It has space group F-43m (No. 216), with a = 6.962 Å, b = 6.962 Å, c = 6.962 Å, α = 90.00°, β = 90.00° and γ = 90.00°. The inequivalent atoms are Dy at (0.000, 0.000, 0.000), Tl at (0.000, 0.000, 0.500), Pd at (0.250, 0.250, 0.250) and Au at (0.250, 0.250, 0.750).

For the energy, the calculation gives -4.44 eV per atom. The value obtained for the volume is 337.5 Å³/cell.

Entry 2:
CrPtBr: relaxed, PBE.

It has space group Fmm2 (No. 42), with a = 3.986 Å, b = 4.735 Å, c = 12.709 Å, α = 90.00°, β = 90.00° and γ = 90.00°. The inequivalent atoms are Cr at (0.000, 0.000, 0.000), Pt at (0.000, 0.000, 0.381) and Br at (0.000, 0.000, 0.636).

The calculation puts the energy relative to the elements, uncorrected at 0.2040 eV/atom. The value obtained for the volume is 239.8 Å³/cell.

Entry 3:
La5Nd2AlZn2: relaxed, PBE.

It has space group P4/mbm (No. 127), with a = 12.678 Å, b = 12.678 Å, c = 3.961 Å, α = 90.00°, β = 90.00° and γ = 90.00°. The inequivalent atoms are La at (0.000, 0.500, 0.000), La at (0.055, 0.197, 0.000), Nd at (0.181, 0.681, 0.500), Al at (0.000, 0.000, 0.500) and Zn at (0.131, 0.369, 0.500).

For the energy, the calculation gives -4.21 eV per atom. The value obtained for the volume is 636.7 Å³/cell.

Entry 4:
Li5CdBi3: relaxed, PBE.

It has space group C2/m (No. 12), with a = 14.392 Å, b = 10.186 Å, c = 9.725 Å, α = 90.00°, β = 132.13° and γ = 90.00°. The inequivalent atoms are Li at (0.000, 0.230, 0.000), Li at (0.020, 0.000, 0.276), Li at (0.162, 0.500, 0.912), Li at (0.169, 0.274, 0.661), Cd at (0.179, 0.500, 0.425), Bi at (0.000, 0.500, 0.000), Bi at (0.000, 0.500, 0.500), Bi at (0.157, 0.000, 0.152) and Bi at (0.161, 0.000, 0.673).

For the energy, the calculation gives -2.70 eV per atom. The value obtained for the volume is 1057.2 Å³/cell.

Entry 5:
Pu5SnPd3: relaxed, PBE.

It has space group C2/m (No. 12), with a = 11.585 Å, b = 7.931 Å, c = 9.788 Å, α = 90.00°, β = 101.73° and γ = 90.00°. The inequivalent atoms are Pu at (0.000, 0.177, 0.000), Pu at (0.007, 0.000, 0.635), Pu at (0.155, 0.244, 0.677), Pu at (0.242, 0.000, 0.939), Sn at (0.087, 0.500, 0.273), Pd at (0.000, 0.500, 0.000), Pd at (0.000, 0.500, 0.500), Pd at (0.180, 0.000, 0.206) and Pd at (0.249, 0.000, 0.490).

For the energy, the calculation gives -10.17 eV per atom. The value obtained for the volume is 880.5 Å³/cell.

Entry 6:
Cs2ScCuCl6: relaxed, PBE.

It has space group Fm-3m (No. 225), with a = 10.284 Å, b = 10.284 Å, c = 10.284 Å, α = 90.00°, β = 90.00° and γ = 90.00°. The inequivalent atoms are Cs at (0.250, 0.250, 0.250), Sc at (0.000, 0.000, 0.000), Cu at (0.000, 0.000, 0.500) and Cl at (0.000, 0.000, 0.246).

The calculation puts the energy relative to the elements, uncorrected at -1.7327 eV/atom. The value obtained for the volume is 1087.5 Å³/cell.

Entry 7:
Pa4AlOs: relaxed, PBE.

It has space group P222 (No. 16), with a = 6.186 Å, b = 6.434 Å, c = 6.926 Å, α = 90.00°, β = 90.00° and γ = 90.00°. The inequivalent atoms are Pa at (0.182, 0.232, 0.182), Pa at (0.235, 0.348, 0.671), Al at (0.500, 0.000, 0.500), Al at (0.500, 0.500, 0.000), Os at (0.000, 0.000, 0.500) and Os at (0.500, 0.000, 0.000).

For the energy, the calculation gives -8.79 eV per atom. The value obtained for the volume is 275.6 Å³/cell.

Entry 8:
ScTa2Rh: relaxed, PBE.

It has space group R-3m (No. 166, hexagonal axes), with a = 2.9773 Å, b = 2.9773 Å, c = 28.4082 Å, α = 90.00°, β = 90.00° and γ = 120.00°. The inequivalent atoms are Sc at (0.0000, 0.0000, 0.0000), Ta at (0.0000, 0.0000, 0.2435) and Rh at (0.0000, 0.0000, 0.5000).

For the energy, the calculation gives -9.34 eV per atom. The value obtained for the volume is 218.1 Å³/cell.